An optimized crystal structure of CeGdHoZn, computed with GGA-PBE.

Cell: 5.335 5.335 5.335 Å, 60.00 60.00 60.00°
Element x y z (fractional)
Ce 0.000 0.000 0.000
Gd 0.500 0.500 0.500
Ho 0.750 0.750 0.750
Zn 0.250 0.250 0.250

Properties
Its symmetry is F-43m (216).

---

An optimized crystal structure of CrNi, computed with GGA-PBE.

Cell: 4.652 4.652 4.698 Å, 90.00 90.00 90.00°
Element x y z (fractional)
Cr 0.169 0.169 0.000
Cr 0.331 0.669 0.500
Cr 0.669 0.331 0.500
Cr 0.831 0.831 0.000
Ni 0.177 0.177 0.500
Ni 0.323 0.677 0.000
Ni 0.677 0.323 0.000
Ni 0.823 0.823 0.500

Properties
Its symmetry is P4_2/mnm (136).

---

An optimized crystal structure of LiCr2Pd8, computed with GGA-PBE.

Cell: 7.213 7.213 6.200 Å, 106.00 106.00 32.07°
Element x y z (fractional)
Li 0.000 0.000 0.000
Cr 0.277 0.277 0.351
Cr 0.723 0.723 0.649
Pd 0.098 0.098 0.460
Pd 0.179 0.179 0.919
Pd 0.356 0.356 0.801
Pd 0.456 0.456 0.271
Pd 0.544 0.544 0.729
Pd 0.644 0.644 0.199
Pd 0.821 0.821 0.081
Pd 0.902 0.902 0.540

Properties
Its symmetry is C2/m (12).

---

It is found that the total energy values, taken in the order of the records, are -25.659; -55.733; -64.023 eV per cell.
It is found that the N(E_F) values, taken in the order of the records, are 1.40; 1.46; 1.11 states/eV/atom.
It is found that the mass density values, taken in the order of the records, are 8.16; 7.23; 9.74 Mg/m³.